Record 1
Y3TaFe, PBEsol geometry, DFT SCAN; DOS(E_F) = 8.33 states/eV/cell; DFT formation energy = 1.081 eV/atom; raw total energy = -162.84 eV for the cell shown; magnetic moment = 0.58 μB/atom; symmetry = Pm-3m
1.0
-1.8898 1.8728 4.6075
2.2777 -4.0557 2.5827
4.4214 2.8898 0.6388
Y Ta Fe
3 1 1
Cartesian
-0.9449 0.9364 2.3037 Y
1.1388 -2.0279 1.2914 Y
2.2107 1.4449 0.3194 Y
0.0000 0.0000 0.0000 Ta
2.4046 0.3534 3.9145 Fe

Record 2
Rb4FeO4, PBEsol geometry, DFT SCAN; formation energy (no corrections) = -1.576 eV/atom; raw total energy = -280.40 eV for the cell shown; magnetic moment = 0.44 μB/atom; symmetry = P-1
1.0
6.4179 -0.2385 0.0475
2.0833 6.2195 -0.0028
1.6067 2.5805 9.1193
Rb Fe O
8 2 8
Cartesian
3.6378 5.0742 0.1193 Rb
3.4583 4.6744 3.6706 Rb
6.6496 3.8871 5.4934 Rb
6.4781 3.7739 1.4080 Rb
4.5528 7.5079 5.7443 Rb
3.6298 4.7876 7.7560 Rb
6.4701 3.4873 9.0447 Rb
5.5551 1.0536 3.4197 Rb
2.3892 1.7128 2.1956 Fe
7.7187 6.8487 6.9685 Fe
6.2805 5.8371 7.3203 O
4.8622 2.2510 6.8458 O
9.1351 7.2103 8.0109 O
3.8274 2.7244 1.8437 O
0.9728 1.3512 1.1532 O
5.2456 6.3105 2.3182 O
1.5717 2.7419 3.4300 O
8.5362 5.8196 5.7340 O

Record 3
Ti2RuRhF, PBEsol geometry, DFT SCAN; DOS(E_F) = 2.87 states/eV/cell; formation energy (no corrections) = -0.002 eV/atom; raw total energy = -104.21 eV for the cell shown; magnetic moment = 0.00 μB/atom; symmetry = P4/mmm
1.0
3.8576 0.0000 0.0000
0.0000 4.5964 0.0000
0.0000 0.0000 4.5964
Ti Rh F Ru
2 1 1 1
Cartesian
0.0000 2.2982 0.0000 Ti
0.0000 0.0000 2.2982 Ti
1.9288 2.2982 2.2982 Rh
1.9288 0.0000 0.0000 F
0.0000 0.0000 0.0000 Ru

Record 4
Zn2HgPd2, PBEsol geometry, DFT SCAN; DOS(E_F) = 1.68 states/eV/cell; DFT formation energy = -0.116 eV/atom; raw total energy = -161.32 eV for the cell shown; magnetic moment = 0.00 μB/atom; symmetry = I4/mmm
1.0
3.8967 0.0000 0.0000
0.0000 3.8967 0.0000
-1.9484 -1.9484 5.5035
Hg Zn Pd
1 2 2
Cartesian
0.0000 0.0000 0.0000 Hg
0.0000 0.0000 4.3159 Zn
1.9484 1.9484 1.1876 Zn
1.9484 0.0000 2.7518 Pd
0.0000 1.9484 2.7518 Pd

Record 5
NaIn2Bi2, PBEsol geometry, DFT SCAN; DOS(E_F) = 3.44 states/eV/cell; DFT formation energy = -0.076 eV/atom; raw total energy = -457.05 eV for the cell shown; polymorph energy (0 for the lowest one) = 24 meV per atom; magnetic moment = 0.00 μB/atom; symmetry = P4/mbm
1.0
4.0493 0.0000 0.0000
0.0000 8.5476 0.0000
0.0000 0.0000 8.5476
Na Bi In
2 4 4
Cartesian
0.0000 0.0000 0.0000 Na
0.0000 4.2738 4.2738 Na
0.0000 5.5295 1.2557 Bi
0.0000 7.2918 5.5295 Bi
0.0000 3.0181 7.2918 Bi
0.0000 1.2557 3.0181 Bi
2.0246 3.0240 1.2498 In
2.0246 7.2978 3.0240 In
2.0246 5.5236 7.2978 In
2.0246 1.2498 5.5236 In

Record 6
CaIn2Pd, PBEsol geometry, DFT SCAN; DOS(E_F) = 3.03 states/eV/cell; DFT formation energy = -0.726 eV/atom; raw total energy = -224.23 eV for the cell shown; magnetic moment = 0.00 μB/atom; symmetry = Cmcm
1.0
-2.3462 -3.6157 -0.9683
5.5075 -0.9708 0.3577
-0.7594 -1.5281 7.5458
Ca Pd In
2 2 4
Cartesian
-1.1660 -3.3236 5.1584 Ca
3.5680 -2.7910 1.7768 Ca
1.8844 -2.7192 5.5878 Pd
0.5176 -3.3954 1.3474 Pd
0.9080 -1.4827 3.3362 In
1.1949 -5.2339 6.5713 In
1.4940 -4.6320 3.5989 In
1.2071 -0.8807 0.3639 In